The following is a DFT calculation (PBE) of PrErMg2Ag4 after structural relaxation.

Computed properties:
The value obtained for the volume is 22.15 Å³/atom. Its formation energy is -0.283 eV/atom.

abc: 5.0015 5.0015 24.5367
angles: 90.00 90.00 120.00
Closest atoms and distances in Å follow each position.
Space group R-3m (No. 166, hexagonal axes)
Inequivalent atoms, fractional coordinates:
Pr 0.0000 0.0000 0.0000 [3 per cell]  8 Ag 3.10-3.17
Er 0.0000 0.0000 0.5000 [3 per cell]  8 Ag 2.95-3.03
Mg 0.0000 0.0000 0.2491 [6 per cell]  8 Ag 2.95-3.20
Ag 0.0000 0.0000 0.1290 [6 per cell]  4 Mg 2.95-3.09, 3 Er 3.03, 1 Pr 3.17
Ag 0.0000 0.0000 0.3797 [6 per cell]  1 Er 2.95, 4 Mg 3.03-3.20, 3 Pr 3.10

***

The following is a DFT calculation (PBE) of SrB3Ru2 after structural relaxation.

Computed properties:
The value obtained for the volume is 13.24 Å³/atom. Its formation energy is -0.048 eV/atom.

abc: 5.3076 9.8432 6.0805
angles: 90.00 90.00 90.00
Closest atoms and distances in Å follow each position.
Space group Imma (No. 74)
Inequivalent atoms, fractional coordinates:
Sr 0.0000 0.2500 0.1516 [4 per cell]  6 B 2.78, 2 Sr 2.91
B 0.1705 0.0000 0.0000 [8 per cell]  1 B 1.81
B 0.2500 0.2500 0.7500 [4 per cell]  4 Ru 2.15
Ru 0.0000 0.0819 0.6960 [8 per cell]  6 B 2.15-2.26

***

Q: The highest volume belongs to which entry?
A: PrErMg2Ag4